VASP calculation (PBE) on an optimized crystal structure of Re2Au.

Results
Energy relative to the elements: 0.23 eV per atom
Offset from the most stable computed form: 9 meV per atom
Magnetic moment: 0.0 μB per formula unit
E: -9.16 eV per atom
Crystal system: orthorhombic

```
data_Re2Au
_chemical_formula_sum 'Re8 Au4'
_symmetry_space_group_name_H-M 'C m c m'
_symmetry_Int_Tables_number 63
_symmetry_space_group_name_Hall '-C 2c 2'
_cell_length_a 2.807
_cell_length_b 15.166
_cell_length_c 4.471
_cell_angle_alpha 90.00
_cell_angle_beta 90.00
_cell_angle_gamma 90.00
loop_
_atom_site_label
_atom_site_fract_x
_atom_site_fract_y
_atom_site_fract_z
Re1 0.000 0.049 0.250
Re2 0.000 0.398 0.250
Au1 0.000 0.282 0.750
```



VASP calculation (PBE) on an optimized crystal structure of InGa2Si2.

Results
Offset from the most stable computed form: 102 meV per atom
Magnetic moment: 0.0 μB per formula unit
E: -3.68 eV per atom
ΔE_f (raw): 0.25 eV per atom
Crystal system: tetragonal

```
data_InGa2Si2
_chemical_formula_sum 'In2 Ga4 Si4'
_symmetry_space_group_name_H-M 'I 4/m m m'
_symmetry_Int_Tables_number 139
_symmetry_space_group_name_Hall '-I 4 2'
_cell_length_a 4.430
_cell_length_b 4.430
_cell_length_c 10.297
_cell_angle_alpha 90.00
_cell_angle_beta 90.00
_cell_angle_gamma 90.00
loop_
_atom_site_label
_atom_site_fract_x
_atom_site_fract_y
_atom_site_fract_z
In1 0.000 0.000 0.000
Ga1 0.000 0.000 0.379
Si1 0.000 0.500 0.250
```



VASP calculation (PBE) on an optimized crystal structure of MgSbPb2.

Results
Offset from the most stable computed form: 6 meV per atom
Magnetic moment: 0.0 μB per formula unit
E: -3.31 eV per atom
ΔE_f (raw): -0.03 eV per atom
Crystal system: tetragonal

```
data_MgSbPb2
_chemical_formula_sum 'Mg1 Sb1 Pb2'
_symmetry_space_group_name_H-M 'P 4 m m'
_symmetry_Int_Tables_number 99
_symmetry_space_group_name_Hall 'P 4 -2'
_cell_length_a 4.041
_cell_length_b 4.041
_cell_length_c 6.968
_cell_angle_alpha 90.00
_cell_angle_beta 90.00
_cell_angle_gamma 90.00
loop_
_atom_site_label
_atom_site_fract_x
_atom_site_fract_y
_atom_site_fract_z
Mg1 0.000 0.000 0.000
Sb1 0.500 0.500 0.807
Pb1 0.000 0.000 0.534
Pb2 0.500 0.500 0.259
```



VASP calculation (PBE) on an optimized crystal structure of Li2HfZrS4.

Results
Magnetic moment: 0.0 μB per formula unit
E: -6.37 eV per atom
ΔE_f (raw): -1.52 eV per atom
Crystal system: monoclinic

```
data_Li2HfZrS4
_chemical_formula_sum 'Li2 Hf1 Zr1 S4'
_symmetry_space_group_name_H-M 'P 1 2/m 1'
_symmetry_Int_Tables_number 10
_symmetry_space_group_name_Hall '-P 2y'
_cell_length_a 6.219
_cell_length_b 3.592
_cell_length_c 6.630
_cell_angle_alpha 90.00
_cell_angle_beta 108.27
_cell_angle_gamma 90.00
loop_
_atom_site_label
_atom_site_fract_x
_atom_site_fract_y
_atom_site_fract_z
Li1 0.000 0.000 0.000
Li2 0.500 0.500 0.000
Hf1 0.000 0.500 0.500
Zr1 0.500 0.000 0.500
S1 0.245 0.000 0.748
S2 0.245 0.500 0.249
```



VASP calculation (PBE) on an optimized crystal structure of Rb3Tb3TaO8.

Results
Magnetic moment: 0.0 μB per formula unit
E: -7.23 eV per atom
ΔE_f (raw): -2.68 eV per atom
Crystal system: trigonal

```
data_Rb3Tb3TaO8
_chemical_formula_sum 'Rb9 Tb9 Ta3 O24'
_symmetry_space_group_name_H-M 'R -3 m'
_symmetry_Int_Tables_number 166
_symmetry_space_group_name_Hall '-R 3 2"'
_cell_length_a 6.8630
_cell_length_b 6.8630
_cell_length_c 20.1369
_cell_angle_alpha 90.00
_cell_angle_beta 90.00
_cell_angle_gamma 120.00
loop_
_atom_site_label
_atom_site_fract_x
_atom_site_fract_y
_atom_site_fract_z
Rb1 0.0000 0.5000 0.0000
Tb1 0.0000 0.5000 0.5000
Ta1 0.0000 0.0000 0.5000
O1 0.0000 0.0000 0.2251
O2 0.0365 0.5182 0.2195
```



VASP calculation (PBE) on an optimized crystal structure of Co3Pt2.

Results
Energy relative to the elements: 0.32 eV per atom
Offset from the most stable computed form: 335 meV per atom
Magnetic moment: 6.6 μB per formula unit
E: -6.36 eV per atom
Crystal system: trigonal

```
data_Co3Pt2
_chemical_formula_sum 'Co3 Pt2'
_symmetry_space_group_name_H-M 'P -3 m 1'
_symmetry_Int_Tables_number 164
_symmetry_space_group_name_Hall '-P 3 2"'
_cell_length_a 4.1089
_cell_length_b 4.1089
_cell_length_c 5.1402
_cell_angle_alpha 90.00
_cell_angle_beta 90.00
_cell_angle_gamma 120.00
loop_
_atom_site_label
_atom_site_fract_x
_atom_site_fract_y
_atom_site_fract_z
Co1 0.0000 0.0000 0.0000
Co2 0.3333 0.6667 0.3659
Pt1 0.3333 0.6667 0.8452
```